Sm2CoRuO6: relaxed, PBE with a Hubbard U.

abc: 5.8399 5.3843 9.4686
angles: 54.94 90.00 90.00
Fractional positions:
1 Sm 0.9254 0.2753 0.2493
2 Sm 0.0746 0.7247 0.7507
3 Sm 0.4254 0.7247 0.2507
4 Sm 0.5746 0.2753 0.7493
5 Co 0.5000 0.5000 0.0000
6 Co 0.0000 0.5000 0.5000
7 Ru 0.5000 0.0000 0.5000
8 Ru 0.0000 0.0000 0.0000
9 O 0.5374 0.1340 0.2547
10 O 0.4626 0.8660 0.7453
11 O 0.0374 0.8660 0.2453
12 O 0.9626 0.1340 0.7547
13 O 0.6937 0.3592 0.4470
14 O 0.3063 0.6408 0.5530
15 O 0.1937 0.6408 0.0530
16 O 0.8063 0.3592 0.9470
17 O 0.2014 0.2404 0.4427
18 O 0.7986 0.7596 0.5573
19 O 0.7014 0.7596 0.0573
20 O 0.2986 0.2404 0.9427

VASP energy = -7.581 eV per atom
density of states at the Fermi level = 0.439 states/eV per atom